Compound: HfCo12B4
Source: Alexandria
Functional: GGA-PBE
Structure: optimized geometry

Results
E_tot in eV/atom: -7.124
V in Å³/atom: 10.75
ρ in g/cm³: 8.444

```
HfCo12B4
1.0
6.1910 0.0000 0.0000
-2.0637 5.8370 0.0000
-2.0637 -2.9185 5.0550
Hf Co B
1 12 4
Direct
0.0000 0.0000 0.0000
0.8293 0.3351 0.1643
0.3351 0.5058 0.1707
0.8357 0.1707 0.6649
0.3351 0.1643 0.8293
0.1643 0.8293 0.3351
0.6649 0.4942 0.8293
0.5058 0.1707 0.3351
0.4942 0.8293 0.6649
0.6649 0.8357 0.1707
0.8293 0.6649 0.4942
0.1707 0.3351 0.5058
0.1707 0.6649 0.8357
0.0000 0.5000 0.0000
0.5000 0.0000 0.0000
0.5000 0.5000 0.5000
0.0000 0.0000 0.5000
```